Here is a relaxed Li5Cd2Hg crystal from the Alexandria database. Energies are from PBE.

The structure belongs to space group I4/mmm (No. 139); the cell edges are 4.460, 4.460 and 14.498 Å and the angles 90.00°, 90.00° and 90.00°. The distinct sites, in fractional coordinates, are Li at (0.000, 0.000, 0.000), Li at (0.000, 0.500, 0.122), Cd at (0.000, 0.000, 0.247) and Hg at (0.000, 0.000, 0.500).

The formation energy from the elements is -261 meV/atom.



Here is a relaxed In2ReAu crystal from the Alexandria database. Energies are from PBE.

The structure belongs to space group P2/m (No. 10); the cell edges are 2.983, 4.054 and 6.221 Å and the angles 90.00°, 90.12° and 90.00°. The distinct sites, in fractional coordinates, are In at (0.001, 0.000, 0.237), Re at (0.500, 0.500, 0.000) and Au at (0.500, 0.500, 0.500).

The formation energy from the elements is 428 meV/atom. As for the polymorph energy (0 for the lowest one): 0.079 eV per atom.



Here is a relaxed CoBr crystal from the Alexandria database. Energies are from PBE.

The structure belongs to space group Fddd (No. 70, origin choice 2); the cell edges are 7.454, 7.719 and 11.677 Å and the angles 90.00°, 90.00° and 90.00°. The distinct sites, in fractional coordinates, are Co at (0.125, 0.125, 0.023) and Br at (0.125, 0.353, 0.625).

As for the polymorph energy (0 for the lowest one): 0.294 eV per atom. As for the uncorrected formation energy: 0.180 eV per atom.



Here is a relaxed UPa2As crystal from the Alexandria database. Energies are from PBE.

The structure belongs to space group P4/mmm (No. 123); the cell edges are 3.719, 3.719 and 6.332 Å and the angles 90.00°, 90.00° and 90.00°. The distinct sites, in fractional coordinates, are U at (0.000, 0.000, 0.000), Pa at (0.500, 0.500, 0.248) and As at (0.000, 0.000, 0.500).

The formation energy from the elements is -244 meV/atom. As for the polymorph energy (0 for the lowest one): 0.167 eV per atom.



Here is a relaxed TaCu3Ge crystal from the Alexandria database. Energies are from PBE.

The structure belongs to space group Pm-3m (No. 221); the cell edges are 4.786, 4.786 and 4.786 Å and the angles 90.00°, 90.00° and 90.00°. The distinct sites, in fractional coordinates, are Ta at (0.000, 0.000, 0.000), Cu at (0.000, 0.000, 0.500) and Ge at (0.500, 0.500, 0.500).

The formation energy from the elements is 1525 meV/atom. As for the polymorph energy (0 for the lowest one): 0.601 eV per atom.



Here is a relaxed Cu2AgPd crystal from the Alexandria database. Energies are from PBE.

The structure belongs to space group Cmmm (No. 65); the cell edges are 5.691, 7.050 and 2.852 Å and the angles 90.00°, 90.00° and 90.00°. The distinct sites, in fractional coordinates, are Cu at (0.250, 0.250, 0.000), Ag at (0.000, 0.000, 0.500) and Pd at (0.000, 0.500, 0.500).

The formation energy from the elements is -32 meV/atom.



Here is a relaxed CeZn4Co crystal from the Alexandria database. Energies are from PBE.

The structure belongs to space group Pmma (No. 51); the cell edges are 7.729, 4.106 and 6.337 Å and the angles 90.00°, 90.00° and 90.00°. The distinct sites, in fractional coordinates, are Ce at (0.250, 0.000, 0.080), Zn at (0.000, 0.000, 0.500), Zn at (0.042, 0.500, 0.788), Zn at (0.250, 0.500, 0.461) and Co at (0.250, 0.000, 0.739).

The formation energy from the elements is -271 meV/atom. As for the polymorph energy (0 for the lowest one): 0.000 eV per atom.



Here is a relaxed LiDy2CuTe4 crystal from the Alexandria database. Energies are from PBE.

The structure belongs to space group P2/m (No. 10); the cell edges are 7.377, 4.293 and 7.485 Å and the angles 90.00°, 110.95° and 90.00°. The distinct sites, in fractional coordinates, are Li at (0.000, 0.000, 0.000), Dy at (0.500, 0.000, 0.500), Dy at (0.500, 0.500, 0.000), Cu at (0.000, 0.500, 0.500), Te at (0.230, 0.000, 0.734) and Te at (0.239, 0.500, 0.244).

As for the uncorrected formation energy: -0.991 eV per atom.